PmNdDy5Y2 GGA-PBE optimized geometry; calculated volume = 597.2 Å³ per cell; total magnetic moment = 0.00 Bohr magnetons per cell; ΔE_f = 0.153 eV per atom
1.0
5.645 0.000 0.000
-2.822 9.927 0.000
0.000 0.000 10.657
Y Dy Nd Pm
4 10 2 2
Direct
0.110 0.220 0.735
0.886 0.772 0.822
0.114 0.228 0.322
0.890 0.780 0.235
0.283 0.566 0.309
0.717 0.434 0.809
0.019 0.037 0.027
0.393 0.785 0.024
0.981 0.963 0.527
0.298 0.596 0.707
0.702 0.404 0.207
0.522 0.044 0.237
0.478 0.956 0.737
0.607 0.215 0.524
0.583 0.166 0.953
0.417 0.834 0.453
0.797 0.594 0.511
0.203 0.406 0.011

Sr5LiCd6 GGA-PBE optimized geometry; calculated volume = 376.0 Å³ per cell; total magnetic moment = 0.00 Bohr magnetons per cell; ΔE_f = -0.273 eV per atom
1.0
5.621 -0.350 0.892
-0.022 7.159 2.936
1.269 0.220 9.669
Sr Cd Li
5 6 1
Direct
0.316 0.819 0.362
0.662 0.661 0.677
0.000 0.500 0.000
0.338 0.339 0.323
0.684 0.181 0.638
0.500 0.207 0.000
0.500 0.793 0.000
0.156 0.934 0.694
0.156 0.373 0.694
0.844 0.627 0.306
0.844 0.066 0.306
0.000 0.000 0.000

PmBe2TlF8 GGA-PBE optimized geometry; formation energy without anion corrections = -3.29 eV/atom; calculated volume = 188.3 Å³ per cell; total magnetic moment = 0.00 Bohr magnetons per cell
1.0
5.204 0.000 0.000
2.602 4.507 0.000
2.602 1.502 8.028
Tl F Be Pm
1 8 2 1
Direct
0.500 0.500 0.500
0.998 0.435 0.832
0.565 0.265 0.168
0.190 0.190 0.431
0.435 0.735 0.832
0.002 0.565 0.168
0.735 0.998 0.832
0.265 0.002 0.168
0.810 0.810 0.569
0.749 0.749 0.754
0.251 0.251 0.246
0.000 0.000 0.000

SrLa2TiO6 GGA-PBE optimized geometry; formation energy without anion corrections = -3.12 eV/atom; calculated volume = 169.6 Å³ per cell; total magnetic moment = 0.00 Bohr magnetons per cell
1.0
5.470 0.000 0.000
0.000 5.568 0.000
0.000 0.000 5.568
Ti La O Sr
1 2 6 1
Direct
0.605 0.000 0.000
0.981 0.500 0.000
0.981 0.000 0.500
0.272 0.000 0.000
0.738 0.228 0.228
0.738 0.772 0.772
0.738 0.772 0.228
0.112 0.500 0.500
0.738 0.228 0.772
0.542 0.500 0.500